Entry 1:
Sc2BeMoBr | PBE | optimized geometry Values from VASP.

- raw total energy (eV/atom) = -5.022
- energy relative to the elements, uncorrected (meV/atom) = 757

Quantum ESPRESSO input file:
```
&SYSTEM
  ibrav = 0, nat = 5, ntyp = 4
/
ATOMIC_SPECIES
Sc 44.96 Sc.upf
Be 9.01 Be.upf
Mo 95.94 Mo.upf
Br 79.90 Br.upf
ATOMIC_POSITIONS crystal
Sc 0.0000 0.0000 0.5000
Sc 0.5000 0.0000 0.0000
Be 0.0000 0.5000 0.0000
Mo 0.5000 0.5000 0.5000
Br 0.0000 0.0000 0.0000
CELL_PARAMETERS angstrom
4.9538 0.0000 0.0000
0.0000 4.1118 0.0000
0.0000 0.0000 4.9538
```

Entry 2:
BeMoSeBr2 | PBE | optimized geometry Values from VASP.

- ΔE to the lowest computed polymorph (eV per formula unit) = 0.00
- raw total energy (eV/atom) = -3.787
- energy relative to the elements, uncorrected (meV/atom) = 490

Quantum ESPRESSO input file:
```
&SYSTEM
  ibrav = 0, nat = 5, ntyp = 4
/
ATOMIC_SPECIES
Be 9.01 Be.upf
Mo 95.94 Mo.upf
Se 78.96 Se.upf
Br 79.90 Br.upf
ATOMIC_POSITIONS crystal
Be 0.0000 0.0000 0.0000
Mo 0.5000 0.5000 0.5000
Se 0.0000 0.0000 0.5000
Br 0.0000 0.5000 0.0000
Br 0.5000 0.0000 0.0000
CELL_PARAMETERS angstrom
4.5963 0.0000 0.0000
0.0000 4.5963 0.0000
0.0000 0.0000 5.1723
```

Entry 3:
BeMoSeBr2 | PBE | optimized geometry Values from VASP.

- ΔE to the lowest computed polymorph (eV per formula unit) = 0.36
- raw total energy (eV/atom) = -3.714
- energy relative to the elements, uncorrected (meV/atom) = 563

Quantum ESPRESSO input file:
```
&SYSTEM
  ibrav = 0, nat = 5, ntyp = 4
/
ATOMIC_SPECIES
Be 9.01 Be.upf
Mo 95.94 Mo.upf
Se 78.96 Se.upf
Br 79.90 Br.upf
ATOMIC_POSITIONS crystal
Be 0.5000 0.5000 0.5000
Mo 0.0000 0.0000 0.0000
Se 0.0000 0.0000 0.5000
Br 0.0000 0.5000 0.0000
Br 0.5000 0.0000 0.0000
CELL_PARAMETERS angstrom
-4.4989 2.2859 -1.5845
0.0920 -2.8893 -4.4294
-2.5570 -3.4909 2.2240
```

no.,volume (Å³/atom)
1,20.181
2,21.853
3,27.222